Density functional theory data (PBE) for ZnInNi3 after structural relaxation.

- Crystal system: cubic
- Symmetry: No. 221
- Raw total energy: -3.706 eV per atom

Structure (POSCAR):
```
ZnInNi3
1.0
4.342 0.000 0.000
0.000 4.342 0.000
0.000 0.000 4.342
Ni Zn In
3 1 1
Direct
0.000 0.500 0.000 Ni
0.000 0.000 0.500 Ni
0.500 0.000 0.000 Ni
0.000 0.000 0.000 Zn
0.500 0.500 0.500 In
```